# 1
An optimized crystal structure of Pm2Ti3Ge4, computed with PBE-GGA.

Unit cell a=7.259 b=7.245 c=7.108 alpha=90.00 beta=109.50 gamma=90.00
Fractional positions:
Pm (0.187, 0.169, 0.062)
Pm (0.187, 0.331, 0.562)
Pm (0.813, 0.669, 0.438)
Pm (0.813, 0.831, 0.938)
Ti (0.258, 0.668, 0.250)
Ti (0.258, 0.832, 0.750)
Ti (0.500, 0.000, 0.500)
Ti (0.500, 0.500, 0.000)
Ti (0.742, 0.168, 0.250)
Ti (0.742, 0.332, 0.750)
Ge (0.093, 0.547, 0.866)
Ge (0.093, 0.953, 0.366)
Ge (0.498, 0.134, 0.862)
Ge (0.498, 0.366, 0.362)
Ge (0.502, 0.634, 0.638)
Ge (0.502, 0.866, 0.138)
Ge (0.907, 0.047, 0.634)
Ge (0.907, 0.453, 0.134)

Calculated values
- calculated total energy (eV/atom) = -6.5036
- ΔE_f (meV/atom) = -764
- density of states at the Fermi level (states/eV/atom) = 0.97



# 2
An optimized crystal structure of PmTiZnGe, computed with PBE-GGA.

Unit cell a=4.842 b=4.842 c=4.842 alpha=60.00 beta=60.00 gamma=60.00
Fractional positions:
Pm (0.000, 0.000, 0.000)
Ti (0.500, 0.500, 0.500)
Zn (0.750, 0.750, 0.750)
Ge (0.250, 0.250, 0.250)

Calculated values
- calculated total energy (eV/atom) = -4.9069
- ΔE_f (meV/atom) = -273
- density of states at the Fermi level (states/eV/atom) = 1.00